(1)
The following is a GGA-PBE calculation of a relaxed SiSnIr2 crystal, from Alexandria via LeMat-Bulk.

Summary:
- electronic total energy (Ry per atom) = -0.5343
- formation energy without anion corrections (eV/f.u.) = -1.9

Lattice parameters (Å, degrees): 5.6694 6.4589 14.8148 90.00 90.00 90.00
Atoms (fractional coordinates):
Si 0.1925 0.0520 0.9447
Si 0.1925 0.5520 0.5553
Si 0.6925 0.4480 0.9447
Si 0.3075 0.0520 0.4447
Si 0.8075 0.9480 0.0553
Si 0.8075 0.4480 0.4447
Si 0.3075 0.5520 0.0553
Si 0.6925 0.9480 0.5553
Sn 0.2785 0.0985 0.6920
Sn 0.7785 0.9015 0.8080
Sn 0.2215 0.5985 0.3080
Sn 0.7215 0.4015 0.1920
Sn 0.7215 0.9015 0.3080
Sn 0.2215 0.0985 0.1920
Sn 0.7785 0.4015 0.6920
Sn 0.2785 0.5985 0.8080
Ir 0.9782 0.2824 0.8455
Ir 0.5218 0.7824 0.1545
Ir 0.4782 0.7176 0.6545
Ir 0.0105 0.2103 0.5462
Ir 0.9782 0.7824 0.6545
Ir 0.4782 0.2176 0.8455
Ir 0.5218 0.2824 0.3455
Ir 0.0218 0.7176 0.1545
Ir 0.9895 0.7897 0.4538
Ir 0.0105 0.7103 0.9538
Ir 0.5105 0.2897 0.5462
Ir 0.4895 0.2103 0.0462
Ir 0.5105 0.7897 0.9538
Ir 0.9895 0.2897 0.0462
Ir 0.4895 0.7103 0.4538
Ir 0.0218 0.2176 0.3455

(2)
The following is a GGA-PBE calculation of a relaxed SiSn3Ir crystal, from Alexandria via LeMat-Bulk.

Summary:
- electronic total energy (Ry per atom) = -0.3534
- formation energy without anion corrections (eV/f.u.) = 2.2

Lattice parameters (Å, degrees): 5.1359 5.1359 5.1359 90.00 90.00 90.00
Atoms (fractional coordinates):
Si 0.5000 0.5000 0.5000
Ir 0.0000 0.0000 0.0000
Sn 0.0000 0.5000 0.0000
Sn 0.0000 0.0000 0.5000
Sn 0.5000 0.0000 0.0000

(3)
The following is a GGA-PBE calculation of a relaxed SiSnIr2 crystal, from Alexandria via LeMat-Bulk.

Summary:
- electronic total energy (Ry per atom) = -0.4905
- formation energy without anion corrections (eV/f.u.) = 0.5

Lattice parameters (Å, degrees): 5.6868 5.6868 6.8400 65.44 65.44 90.00
Atoms (fractional coordinates):
Si 0.5000 0.5000 0.0000
Si 0.2500 0.7500 0.5000
Ir 0.5795 0.1250 0.2500
Ir 0.1705 0.6250 0.2500
Ir 0.3750 0.4205 0.7500
Ir 0.8750 0.8295 0.7500
Sn 0.0000 0.0000 0.0000
Sn 0.7500 0.2500 0.5000

(4)
The following is a GGA-PBE calculation of a relaxed SiSn2Ir2 crystal, from Alexandria via LeMat-Bulk.

Summary:
- electronic total energy (Ry per atom) = -0.4504
- formation energy without anion corrections (eV/f.u.) = 0.5

Lattice parameters (Å, degrees): 7.7960 7.7960 3.0121 90.00 90.00 90.00
Atoms (fractional coordinates):
Si 0.0000 0.0000 0.0000
Si 0.5000 0.5000 0.0000
Ir 0.3568 0.8568 0.0000
Ir 0.8568 0.6432 0.0000
Ir 0.6432 0.1432 0.0000
Ir 0.1432 0.3568 0.0000
Sn 0.1549 0.6549 0.5000
Sn 0.6549 0.8451 0.5000
Sn 0.8451 0.3451 0.5000
Sn 0.3451 0.1549 0.5000

(5)
The following is a GGA-PBE calculation of a relaxed SiSn3Ir crystal, from Alexandria via LeMat-Bulk.

Summary:
- electronic total energy (Ry per atom) = -0.3087
- formation energy without anion corrections (eV/f.u.) = 5.3

Lattice parameters (Å, degrees): 5.0237 5.0237 5.0237 90.00 90.00 90.00
Atoms (fractional coordinates):
Si 0.0000 0.0000 0.0000
Ir 0.5000 0.5000 0.5000
Sn 0.0000 0.5000 0.0000
Sn 0.0000 0.0000 0.5000
Sn 0.5000 0.0000 0.0000

(6)
The following is a GGA-PBE calculation of a relaxed SiSnIr2 crystal, from Alexandria via LeMat-Bulk.

Summary:
- electronic total energy (Ry per atom) = -0.4950
- formation energy without anion corrections (eV/f.u.) = 0.2

Lattice parameters (Å, degrees): 4.4714 4.4714 4.4714 60.00 60.00 60.00
Atoms (fractional coordinates):
Si 0.0000 0.0000 0.0000
Ir 0.2500 0.2500 0.2500
Ir 0.7500 0.7500 0.7500
Sn 0.5000 0.5000 0.5000

What did the sixth record say?
The following is a GGA-PBE calculation of a relaxed SiSnIr2 crystal, from Alexandria via LeMat-Bulk.

Summary:
- electronic total energy (Ry per atom) = -0.4950
- formation energy without anion corrections (eV/f.u.) = 0.2

Lattice parameters (Å, degrees): 4.4714 4.4714 4.4714 60.00 60.00 60.00
Atoms (fractional coordinates):
Si 0.0000 0.0000 0.0000
Ir 0.2500 0.2500 0.2500
Ir 0.7500 0.7500 0.7500
Sn 0.5000 0.5000 0.5000

Q: Which of these has the lowest formation energy without anion corrections?
A: number 1